[1]
A relaxed Pr6AlPb crystal. Source: the Alexandria database, functional PBE.

The crystal system is tetragonal.

The space group is P4/mmm (No. 123) and the conventional cell measures 4.9910, 4.9910 and 9.9817 Å, with angles of 90.00, 90.00 and 90.00 degrees. Symmetry generates all atoms from Pr at (0.0000, 0.0000, 0.0000), Pr at (0.0000, 0.0000, 0.5000), Pr at (0.0000, 0.5000, 0.2433), Al at (0.5000, 0.5000, 0.0000) and Pb at (0.5000, 0.5000, 0.5000).

***

[2]
A relaxed Pr2Al2Rh5Pb crystal. Source: the Alexandria database, functional PBE.

The crystal system is tetragonal.

The space group is P4/mbm (No. 127) and the conventional cell measures 10.1174, 10.1174 and 3.6275 Å, with angles of 90.00, 90.00 and 90.00 degrees. Symmetry generates all atoms from Pr at (0.1784, 0.3216, 0.0000), Al at (0.1178, 0.6178, 0.0000), Rh at (0.0000, 0.5000, 0.5000), Rh at (0.0683, 0.7835, 0.5000) and Pb at (0.0000, 0.0000, 0.0000).

***

[3]
A relaxed PrSmAlPb crystal. Source: the Alexandria database, functional PBE.

The crystal system is cubic.

The space group is F-43m (No. 216) and the conventional cell measures 7.6971, 7.6971 and 7.6971 Å, with angles of 90.00, 90.00 and 90.00 degrees. Symmetry generates all atoms from Pr at (0.0000, 0.0000, 0.0000), Sm at (0.0000, 0.0000, 0.5000), Al at (0.2500, 0.2500, 0.2500) and Pb at (0.2500, 0.2500, 0.7500).

***

[4]
A relaxed PrTmAlPb crystal. Source: the Alexandria database, functional PBE.

The crystal system is cubic.

The space group is F-43m (No. 216) and the conventional cell measures 7.5945, 7.5945 and 7.5945 Å, with angles of 90.00, 90.00 and 90.00 degrees. Symmetry generates all atoms from Pr at (0.0000, 0.0000, 0.0000), Tm at (0.0000, 0.0000, 0.5000), Al at (0.2500, 0.2500, 0.7500) and Pb at (0.2500, 0.2500, 0.2500).

***

We obtain calculated formation energy values of -0.258; -0.705; -0.351; -0.308 eV per atom for the records listed above, in that order.
We obtain N(E_F) values of 1.34; 0.31; 0.67; 0.88 states/eV per atom for the records listed above, in that order.